SrZr4Si after structural relaxation. Source: the Alexandria database, functional PBE.

Summary:
**Magnetic moment**: 0.00 Bohr magnetons per cell
**E_form (uncorrected)**: 522 meV/atom
**Crystal system**: cubic

a = 5.9498 Å, b = 5.9498 Å, c = 5.9498 Å
α = 60.00°, β = 60.00°, γ = 60.00°
With the nearest neighbours (Å) after each atom.
Sites, in units of the cell vectors:
Sr (0.0000, 0.0000, 0.0000)  12 Zr 3.48, 4 Si 3.64
Zr (0.1189, 0.6270, 0.6270)  6 Zr 2.93-3.02
Zr (0.6270, 0.1189, 0.6270)  6 Zr 2.93-3.02
Zr (0.6270, 0.6270, 0.1189)  6 Zr 2.93-3.02
Zr (0.6270, 0.6270, 0.6270)  6 Zr 2.93-3.02
Si (0.2500, 0.2500, 0.2500)  12 Zr 3.49, 4 Sr 3.64

NdInB12 after structural relaxation. Source: the Alexandria database, functional PBE.

Summary:
**Magnetic moment**: 0.00 Bohr magnetons per cell
**Formation energy**: -148 meV per atom
**Crystal system**: cubic

a = 5.9302 Å, b = 5.9302 Å, c = 5.9302 Å
α = 60.00°, β = 60.00°, γ = 60.00°
With the nearest neighbours (Å) after each atom.
Sites, in units of the cell vectors:
Nd (0.0000, 0.0000, 0.0000)  24 B 3.08
In (0.5000, 0.5000, 0.5000)  24 B 3.08
B (0.1012, 0.1012, 0.3988)  5 B 1.70-1.77
B (0.1012, 0.3988, 0.1012)  5 B 1.70-1.77
B (0.1012, 0.3988, 0.3988)  5 B 1.70-1.77
B (0.3988, 0.1012, 0.1012)  5 B 1.70-1.77
B (0.3988, 0.1012, 0.3988)  5 B 1.70-1.77
B (0.3988, 0.3988, 0.1012)  5 B 1.70-1.77
B (0.6012, 0.6012, 0.8988)  5 B 1.70-1.77
B (0.6012, 0.8988, 0.6012)  5 B 1.70-1.77
B (0.6012, 0.8988, 0.8988)  5 B 1.70-1.77
B (0.8988, 0.6012, 0.6012)  5 B 1.70-1.77
B (0.8988, 0.6012, 0.8988)  5 B 1.70-1.77
B (0.8988, 0.8988, 0.6012)  5 B 1.70-1.77

Cu2CCl4 after structural relaxation. Source: the Alexandria database, functional PBE.

Summary:
**Magnetic moment**: 0.16 Bohr magnetons per cell
**E_form (uncorrected)**: 574 meV/atom
**Crystal system**: tetragonal

a = 6.5927 Å, b = 6.5927 Å, c = 6.5927 Å
α = 138.11°, β = 138.11°, γ = 60.74°
With the nearest neighbours (Å) after each atom.
Sites, in units of the cell vectors:
Cu (0.1088, 0.1088, 0.0000)  1 Cl 2.20
Cu (0.8912, 0.8912, 0.0000)  1 Cl 2.20
C (0.5000, 0.5000, 0.0000)  6 Cl 2.25-2.36
Cl (0.0000, 0.5000, 0.5000)  2 C 2.36
Cl (0.3020, 0.3020, 0.0000)  1 Cu 2.20, 1 C 2.25
Cl (0.5000, 0.0000, 0.5000)  2 C 2.36
Cl (0.6980, 0.6980, 0.0000)  1 Cu 2.20, 1 C 2.25

Er3PaRh3 after structural relaxation. Source: the Alexandria database, functional PBE.

Summary:
**Magnetic moment**: 0.00 Bohr magnetons per cell
**Formation energy**: -709 meV per atom
**Crystal system**: orthorhombic

a = 11.8829 Å, b = 4.0693 Å, c = 13.3225 Å
α = 90.00°, β = 90.00°, γ = 90.00°
With the nearest neighbours (Å) after each atom.
Sites, in units of the cell vectors:
Er (0.0497, 0.2500, 0.0971)  5 Rh 2.79-3.10
Er (0.1884, 0.7500, 0.5127)  6 Rh 2.87-3.04
Er (0.2487, 0.2500, 0.2988)  5 Rh 2.83-2.94
Er (0.2513, 0.7500, 0.7988)  5 Rh 2.83-2.94
Er (0.3116, 0.2500, 0.0127)  6 Rh 2.87-3.04
Er (0.4503, 0.7500, 0.5971)  5 Rh 2.79-3.10
Er (0.5497, 0.2500, 0.4029)  5 Rh 2.79-3.10
Er (0.6884, 0.7500, 0.9873)  6 Rh 2.87-3.04
Er (0.7487, 0.2500, 0.2012)  5 Rh 2.83-2.94
Er (0.7513, 0.7500, 0.7012)  5 Rh 2.83-2.94
Er (0.8116, 0.2500, 0.4873)  6 Rh 2.87-3.04
Er (0.9503, 0.7500, 0.9029)  5 Rh 2.79-3.10
Pa (0.0301, 0.2500, 0.6852)  4 Rh 2.69-2.80
Pa (0.4699, 0.7500, 0.1852)  4 Rh 2.69-2.80
Pa (0.5301, 0.2500, 0.8148)  4 Rh 2.69-2.80
Pa (0.9699, 0.7500, 0.3148)  4 Rh 2.69-2.80
Rh (0.0475, 0.2500, 0.4272)  2 Pa 2.69, 4 Er 2.87-2.94
Rh (0.1077, 0.2500, 0.8748)  1 Pa 2.69, 4 Er 2.79-2.84
Rh (0.2370, 0.7500, 0.1515)  1 Pa 2.80, 6 Er 2.83-3.10
Rh (0.2630, 0.2500, 0.6515)  1 Pa 2.80, 6 Er 2.83-3.10
Rh (0.3923, 0.7500, 0.3748)  1 Pa 2.69, 4 Er 2.79-2.84
Rh (0.4525, 0.7500, 0.9272)  2 Pa 2.69, 4 Er 2.87-2.94
Rh (0.5475, 0.2500, 0.0728)  2 Pa 2.69, 4 Er 2.87-2.94
Rh (0.6077, 0.2500, 0.6252)  1 Pa 2.69, 4 Er 2.79-2.84
Rh (0.7370, 0.7500, 0.3485)  1 Pa 2.80, 6 Er 2.83-3.10
Rh (0.7630, 0.2500, 0.8485)  1 Pa 2.80, 6 Er 2.83-3.10
Rh (0.8923, 0.7500, 0.1252)  1 Pa 2.69, 4 Er 2.79-2.84
Rh (0.9525, 0.7500, 0.5728)  2 Pa 2.69, 4 Er 2.87-2.94

Pr3Y2 after structural relaxation. Source: the Alexandria database, functional PBE.

Summary:
**Magnetic moment**: 0.00 Bohr magnetons per cell
**Formation energy**: 137 meV per atom
**Crystal system**: orthorhombic

a = 9.5146 Å, b = 9.5146 Å, c = 9.5146 Å
α = 139.67°, β = 57.37°, γ = 140.98°
With the nearest neighbours (Å) after each atom.
Sites, in units of the cell vectors:
Pr (0.0982, 0.6028, 0.7010)  5 Pr 3.45-3.55, 3 Y 3.47-3.82
Pr (0.2500, 0.2500, 0.0000)  6 Pr 3.18-3.46
Pr (0.4018, 0.1028, 0.5046)  5 Pr 3.45-3.55, 3 Y 3.47-3.82
Pr (0.5982, 0.8972, 0.4954)  5 Pr 3.45-3.55, 3 Y 3.47-3.82
Pr (0.7500, 0.7500, 0.0000)  6 Pr 3.18-3.46
Pr (0.9018, 0.3972, 0.2990)  5 Pr 3.45-3.55, 3 Y 3.47-3.82
Y (0.1942, 0.1320, 0.3262)  5 Pr 3.47-3.82, 4 Y 3.62-3.77
Y (0.3058, 0.6320, 0.9378)  5 Pr 3.47-3.82, 4 Y 3.62-3.77
Y (0.6942, 0.3680, 0.0622)  5 Pr 3.47-3.82, 4 Y 3.62-3.77
Y (0.8058, 0.8680, 0.6738)  5 Pr 3.47-3.82, 4 Y 3.62-3.77

Y2Er3Cu4 after structural relaxation. Source: the Alexandria database, functional PBE.

Summary:
**Magnetic moment**: 0.00 Bohr magnetons per cell
**Formation energy**: -203 meV per atom
**Crystal system**: monoclinic

a = 8.4204 Å, b = 7.2151 Å, c = 7.0330 Å
α = 90.00°, β = 108.84°, γ = 90.00°
With the nearest neighbours (Å) after each atom.
Sites, in units of the cell vectors:
Y (0.1894, 0.1794, 0.0619)  6 Cu 2.96-3.22
Y (0.1894, 0.3206, 0.5619)  6 Cu 2.96-3.22
Y (0.8106, 0.6794, 0.4381)  6 Cu 2.96-3.22
Y (0.8106, 0.8206, 0.9381)  6 Cu 2.96-3.22
Er (0.2347, 0.6741, 0.2297)  6 Cu 2.79-3.03
Er (0.2347, 0.8259, 0.7297)  6 Cu 2.79-3.03
Er (0.5000, 0.0000, 0.5000)  4 Cu 2.83-2.84
Er (0.5000, 0.5000, 0.0000)  4 Cu 2.83-2.84
Er (0.7653, 0.1741, 0.2703)  6 Cu 2.79-3.03
Er (0.7653, 0.3259, 0.7703)  6 Cu 2.79-3.03
Cu (0.0654, 0.5319, 0.8497)  1 Cu 2.72, 3 Er 2.79-2.83, 2 Y 2.96-2.98
Cu (0.0654, 0.9681, 0.3497)  1 Cu 2.72, 3 Er 2.79-2.83, 2 Y 2.96-2.98
Cu (0.4908, 0.1246, 0.8790)  1 Cu 2.45
Cu (0.4908, 0.3754, 0.3790)  1 Cu 2.45
Cu (0.5092, 0.6246, 0.6210)  1 Cu 2.45
Cu (0.5092, 0.8754, 0.1210)  1 Cu 2.45
Cu (0.9346, 0.0319, 0.6503)  1 Cu 2.72, 3 Er 2.79-2.83, 2 Y 2.96-2.98
Cu (0.9346, 0.4681, 0.1503)  1 Cu 2.72, 3 Er 2.79-2.83, 2 Y 2.96-2.98